A | NaCdTe | PBE | optimized geometry

Values from the calculation:
total magnetization	0.000	μB per atom
volume	181.69	Å³/cell

abc: 4.6213 6.1060 7.1543
angles: 73.68 84.51 69.68
Closest atoms and distances in Å follow each position.
Space group P-1 (No. 2)
Asymmetric unit:
Na  0.0828  0.2567  0.2863 [2 per cell]  4 Te 3.10-3.41, 3 Cd 3.37-3.44
Cd  0.3809  0.7092  0.0642 [2 per cell]  1 Cd 2.78, 3 Te 2.94-3.05
Te  0.2054  0.1645  0.7242 [2 per cell]  3 Cd 2.94-3.05, 1 Na 3.10

B | NaCdTe | PBE | optimized geometry

Values from the calculation:
total magnetization	0.000	μB per atom
volume	576.78	Å³/cell

abc: 5.4508 5.4508 22.4159
angles: 90.00 90.00 120.00
Closest atoms and distances in Å follow each position.
Space group R-3m (No. 166, hexagonal axes)
Asymmetric unit:
Na  0.0000  0.0000  0.1141 [6 per cell]  4 Te 3.16-3.25, 3 Cd 3.39
Cd  0.0000  0.0000  0.3908 [6 per cell]  4 Te 3.05-3.18, 3 Na 3.39
Te  0.0000  0.0000  0.2549 [6 per cell]  4 Cd 3.05-3.18, 4 Na 3.16-3.25

A ends up most stable, edging out the next structure by 171 meV/atom.